Entry 1:
YbMg6: optimized geometry, PBE-GGA.

Values from the calculation:
SG: No. 229
Uncorrected energy (eV per atom): -0.9935
Energy of formation (eV/atom): 0.591
Total moment (μB/f.u.): 0.23
DOS(E_F) (states/eV per atom): 3.22
Crystal system: cubic

Lattice parameters (Å, degrees): 6.887 6.887 6.887 109.47 109.47 109.47
Last column: magnetic moment on the atom in μB.
Fractional positions:
Yb (0.000, 0.000, 0.000)  0.24
Mg (0.250, 0.750, 0.500)  0.00
Mg (0.500, 0.750, 0.250)  0.00
Mg (0.250, 0.500, 0.750)  0.00
Mg (0.750, 0.250, 0.500)  0.00
Mg (0.500, 0.250, 0.750)  0.00
Mg (0.750, 0.500, 0.250)  0.00


Entry 2:
CaFe2As: optimized geometry, PBE-GGA.

Values from the calculation:
SG: No. 123
Uncorrected energy (eV per atom): -5.6980
Energy of formation (eV/atom): 0.196
Total moment (μB/f.u.): 5.36
DOS(E_F) (states/eV per atom): 1.08
Crystal system: tetragonal

Lattice parameters (Å, degrees): 3.998 3.998 4.244 90.00 90.00 90.00
Last column: magnetic moment on the atom in μB.
Fractional positions:
As (0.500, 0.000, 0.500)  0.04
Ca (0.000, 0.500, 0.500)  -0.07
Fe (0.000, 0.000, 0.000)  2.70
Fe (0.500, 0.500, 0.000)  2.70


Entry 3:
ErMgAu: optimized geometry, PBE-GGA.

Values from the calculation:
SG: No. 107
Uncorrected energy (eV per atom): -3.6612
Energy of formation (eV/atom): -0.516
Total moment (μB/f.u.): 0.00
DOS(E_F) (states/eV per atom): 0.74
Crystal system: tetragonal

Lattice parameters (Å, degrees): 3.463 3.463 6.229 106.14 106.14 90.00
Fractional positions:
Mg (0.641, 0.641, 0.281)
Au (0.278, 0.278, 0.556)
Er (0.931, 0.931, 0.863)


Entry 4:
CoOs2Cl: optimized geometry, PBE-GGA.

Values from the calculation:
SG: No. 123
Uncorrected energy (eV per atom): -6.6073
Total moment (μB/f.u.): 1.56
DOS(E_F) (states/eV per atom): 1.27
ΔE to the lowest computed polymorph (meV per atom): 775
Crystal system: tetragonal
Formation energy from raw total energies (kJ per mole of atoms): 120

Lattice parameters (Å, degrees): 4.363 4.363 2.836 90.00 90.00 90.02
Last column: magnetic moment on the atom in μB.
Fractional positions:
Co (0.000, 0.500, 0.500)  1.07
Os (0.000, 0.000, 0.000)  0.23
Os (0.500, 0.500, 0.000)  0.23
Cl (0.500, 0.000, 0.500)  0.01